1.
Here is a relaxed structure of KYCu2 from the Alexandria database. Energies are from PBE.

Properties
The calculated formation energy is 0.5506 eV per atom. The calculation puts the volume at 445.2 Å³/cell. The relative energy among the computed polymorphs comes out at 1.95 eV per formula unit.

Lattice parameters (Å, degrees): 7.9052 7.9052 7.1238 90.00 90.00 90.00
Space group I-42d (No. 122)
One atom of each set of equivalent atoms:
K 0.0000 0.0000 0.0000 [4 per cell]
Y 0.0000 0.0000 0.5000 [4 per cell]
Cu 0.2194 0.2500 0.6250 [8 per cell]

---

2.
Here is a relaxed structure of ScIn2Ir from the Alexandria database. Energies are from PBE.

Properties
The calculated formation energy is -0.2569 eV per atom. The calculation puts the volume at 160.2 Å³/cell.

Lattice parameters (Å, degrees): 9.4839 3.4605 5.0307 90.00 104.01 90.00
Space group C2/m (No. 12)
One atom of each set of equivalent atoms:
Sc 0.0000 0.0000 0.0000 [2 per cell]
In 0.2366 0.0000 0.7273 [4 per cell]
Ir 0.0000 0.5000 0.5000 [2 per cell]

---

3.
Here is a relaxed structure of CoCu2Pt from the Alexandria database. Energies are from PBE.

Properties
The calculated formation energy is -0.0124 eV per atom. The calculation puts the volume at 51.2 Å³/cell.

Lattice parameters (Å, degrees): 2.6852 2.6852 7.0948 90.00 90.00 90.00
Space group P4mm (No. 99)
One atom of each set of equivalent atoms:
Co 0.0000 0.0000 0.0000 [1 per cell]
Cu 0.0000 0.0000 0.4760 [1 per cell]
Cu 0.5000 0.5000 0.2380 [1 per cell]
Pt 0.5000 0.5000 0.7468 [1 per cell]

---

4.
Here is a relaxed structure of Na5B7C3 from the Alexandria database. Energies are from PBE.

Properties
The calculated formation energy is 0.1254 eV per atom. The calculation puts the volume at 622.3 Å³/cell. The relative energy among the computed polymorphs comes out at 0.19 eV per formula unit.

Lattice parameters (Å, degrees): 17.8269 2.8494 13.3121 90.00 113.03 90.00
Space group C2/m (No. 12)
One atom of each set of equivalent atoms:
Na 0.0000 0.0000 0.0000 [2 per cell]
Na 0.0000 0.0000 0.5000 [2 per cell]
Na 0.0984 0.5000 0.2003 [4 per cell]
Na 0.1004 0.5000 0.7010 [4 per cell]
Na 0.2003 0.0000 0.3988 [4 per cell]
Na 0.2002 0.0000 0.9007 [4 per cell]
B 0.0333 0.0000 0.8163 [4 per cell]
B 0.0360 0.0000 0.3220 [4 per cell]
B 0.0734 0.5000 0.8963 [4 per cell]
B 0.1300 0.5000 0.5099 [4 per cell]
B 0.1668 0.0000 0.0833 [4 per cell]
B 0.1691 0.0000 0.5887 [4 per cell]
B 0.2392 0.0000 0.7281 [4 per cell]
C 0.0675 0.5000 0.3844 [4 per cell]
C 0.1360 0.5000 0.0207 [4 per cell]
C 0.2299 0.0000 0.2109 [4 per cell]

---

Summary of energy in eV per formula unit
-13.55 -21.70 -21.39 -79.13
(order as listed above)